# 1
A relaxed Li2YIn crystal, computed with GGA-PBEsol. Values from VASP.

```
&SYSTEM
  ibrav = 0, nat = 4, ntyp = 3
/
ATOMIC_SPECIES
In 114.82 In.upf
Y 88.91 Y.upf
Li 6.94 Li.upf
CELL_PARAMETERS angstrom
4.963 0.000 0.000
2.482 4.298 0.000
2.482 1.433 4.052
ATOMIC_POSITIONS angstrom
In 2.482 1.433 1.013
Y 0.000 0.000 0.000
Li 7.445 4.298 3.039
Li 4.963 2.866 2.026
```

Calculated values
**Final energy**: -14.85 eV per formula unit
**ΔE_f**: -0.28 eV per atom


# 2
A relaxed Li4YIn crystal, computed with GGA-PBEsol. Values from VASP.

```
&SYSTEM
  ibrav = 0, nat = 6, ntyp = 3
/
ATOMIC_SPECIES
Li 6.94 Li.upf
In 114.82 In.upf
Y 88.91 Y.upf
CELL_PARAMETERS angstrom
5.438 0.000 0.000
2.719 4.710 0.000
2.719 1.570 4.440
ATOMIC_POSITIONS angstrom
Li 6.808 2.349 1.661
Li 5.438 4.721 1.661
Li 5.438 3.140 3.898
Li 4.069 2.349 1.661
In 0.000 0.000 0.000
Y 8.157 4.710 3.330
```

Calculated values
**Final energy**: -18.61 eV per formula unit
**ΔE_f**: -0.16 eV per atom


# 3
A relaxed LiYIn crystal, computed with GGA-PBEsol. Values from VASP.

```
&SYSTEM
  ibrav = 0, nat = 3, ntyp = 3
/
ATOMIC_SPECIES
Li 6.94 Li.upf
In 114.82 In.upf
Y 88.91 Y.upf
CELL_PARAMETERS angstrom
3.449 0.000 0.000
0.000 4.820 0.000
0.000 -2.410 4.175
ATOMIC_POSITIONS angstrom
Li 2.874 0.000 2.783
In 2.875 0.000 0.000
Y 1.150 2.410 1.392
```

Calculated values
**Final energy**: -12.90 eV per formula unit
**ΔE_f**: -0.38 eV per atom


# 4
A relaxed LiZn2In crystal, computed with GGA-PBEsol. Values from VASP.

```
&SYSTEM
  ibrav = 0, nat = 4, ntyp = 3
/
ATOMIC_SPECIES
Li 6.94 Li.upf
Zn 65.41 Zn.upf
In 114.82 In.upf
CELL_PARAMETERS angstrom
3.010 0.000 0.000
1.505 2.607 0.000
1.505 0.869 9.133
ATOMIC_POSITIONS angstrom
Li 0.000 0.000 0.000
Zn 1.505 0.869 2.116
Zn 4.515 2.607 7.017
In 3.010 1.738 4.566
```

Calculated values
**Final energy**: -7.90 eV per formula unit
**ΔE_f**: 0.05 eV per atom


# 5
A relaxed LiZn2In crystal, computed with GGA-PBEsol. Values from VASP.

```
&SYSTEM
  ibrav = 0, nat = 4, ntyp = 3
/
ATOMIC_SPECIES
Zn 65.41 Zn.upf
In 114.82 In.upf
Li 6.94 Li.upf
CELL_PARAMETERS angstrom
-3.870 -0.402 1.066
-0.640 -2.357 -3.211
3.202 -1.884 3.280
ATOMIC_POSITIONS angstrom
Zn 0.154 -2.810 -0.502
Zn -1.462 -1.833 1.637
In -2.255 -1.380 -1.072
Li 0.000 0.000 0.000
```

Calculated values
**Final energy**: -8.54 eV per formula unit
**ΔE_f**: -0.11 eV per atom


# 6
A relaxed LiZn2In crystal, computed with GGA-PBEsol. Values from VASP.

```
&SYSTEM
  ibrav = 0, nat = 4, ntyp = 3
/
ATOMIC_SPECIES
Zn 65.41 Zn.upf
Li 6.94 Li.upf
In 114.82 In.upf
CELL_PARAMETERS angstrom
-0.249 -4.042 0.548
4.078 -0.268 0.035
-1.962 2.740 3.615
ATOMIC_POSITIONS angstrom
Zn 2.006 0.151 1.972
Zn -0.248 -4.042 0.548
Li -0.143 -1.724 2.227
In -0.044 0.589 3.907
```

Calculated values
**Final energy**: -8.54 eV per formula unit
**ΔE_f**: -0.11 eV per atom


# 7
A relaxed LiZn2In crystal, computed with GGA-PBEsol. Values from VASP.

```
&SYSTEM
  ibrav = 0, nat = 4, ntyp = 3
/
ATOMIC_SPECIES
Zn 65.41 Zn.upf
In 114.82 In.upf
Li 6.94 Li.upf
CELL_PARAMETERS angstrom
-2.874 1.336 0.839
-1.373 -1.258 -2.699
-1.466 -5.118 3.131
ATOMIC_POSITIONS angstrom
Zn -2.435 -1.050 -0.264
Zn -0.007 -0.026 0.016
In -0.740 -2.583 1.580
Li -3.263 -3.940 1.505
```

Calculated values
**Final energy**: -8.44 eV per formula unit
**ΔE_f**: -0.08 eV per atom


# 8
A relaxed LiZn2In crystal, computed with GGA-PBEsol. Values from VASP.

```
&SYSTEM
  ibrav = 0, nat = 4, ntyp = 3
/
ATOMIC_SPECIES
Zn 65.41 Zn.upf
Li 6.94 Li.upf
In 114.82 In.upf
CELL_PARAMETERS angstrom
-0.821 1.558 -2.411
-0.697 -3.636 -2.113
-4.720 -0.800 2.934
ATOMIC_POSITIONS angstrom
Zn -5.330 0.465 0.958
Zn -2.238 -0.557 -2.604
Li -4.255 -2.126 0.762
In -2.727 0.477 0.079
```

Calculated values
**Final energy**: -8.47 eV per formula unit
**ΔE_f**: -0.09 eV per atom


# 9
A relaxed LiZn2In crystal, computed with GGA-PBEsol. Values from VASP.

```
&SYSTEM
  ibrav = 0, nat = 4, ntyp = 3
/
ATOMIC_SPECIES
In 114.82 In.upf
Zn 65.41 Zn.upf
Li 6.94 Li.upf
CELL_PARAMETERS angstrom
-2.348 -0.283 -1.801
0.220 -3.965 0.336
-3.485 0.189 4.515
ATOMIC_POSITIONS angstrom
In -1.064 -2.124 -0.733
Zn -2.526 0.137 3.272
Zn -0.959 0.052 1.242
Li -2.806 -2.030 1.525
```

Calculated values
**Final energy**: -8.38 eV per formula unit
**ΔE_f**: -0.07 eV per atom


# 10
A relaxed LiZn2In crystal, computed with GGA-PBEsol. Values from VASP.

```
&SYSTEM
  ibrav = 0, nat = 4, ntyp = 3
/
ATOMIC_SPECIES
Zn 65.41 Zn.upf
Li 6.94 Li.upf
In 114.82 In.upf
CELL_PARAMETERS angstrom
4.004 0.000 0.000
0.000 4.004 0.000
0.000 0.000 4.087
ATOMIC_POSITIONS angstrom
Zn 0.000 2.002 0.000
Zn 2.002 0.000 0.000
Li 0.000 0.000 2.043
In 2.002 2.002 2.043
```

Calculated values
**Final energy**: -8.56 eV per formula unit
**ΔE_f**: -0.11 eV per atom


# 11
A relaxed LiZn2In crystal, computed with GGA-PBEsol. Values from VASP.

```
&SYSTEM
  ibrav = 0, nat = 4, ntyp = 3
/
ATOMIC_SPECIES
Zn 65.41 Zn.upf
In 114.82 In.upf
Li 6.94 Li.upf
CELL_PARAMETERS angstrom
2.985 0.000 0.000
-1.492 4.547 0.026
0.000 -0.657 4.947
ATOMIC_POSITIONS angstrom
Zn 0.000 2.089 1.114
Zn 1.492 1.800 3.859
In 0.000 -0.329 2.473
Li 1.492 0.000 0.000
```

Calculated values
**Final energy**: -8.41 eV per formula unit
**ΔE_f**: -0.07 eV per atom


# 12
A relaxed LiZn2In crystal, computed with GGA-PBEsol. Values from VASP.

```
&SYSTEM
  ibrav = 0, nat = 4, ntyp = 3
/
ATOMIC_SPECIES
In 114.82 In.upf
Zn 65.41 Zn.upf
Li 6.94 Li.upf
CELL_PARAMETERS angstrom
-1.365 2.270 1.288
-2.486 -2.945 2.556
3.730 -0.154 3.450
ATOMIC_POSITIONS angstrom
In -0.061 -0.414 3.647
Zn 1.979 1.441 3.585
Zn 0.386 0.675 1.153
Li -1.243 -1.472 1.278
```

Calculated values
**Final energy**: -8.36 eV per formula unit
**ΔE_f**: -0.06 eV per atom


Q: Which of these has the highest final energy?
A: number 4


Q: Which value of final energy does entry 8 give?
A: -8.47 eV per formula unit


Q: Which of these has the lowest ΔE_f?
A: LiYIn


Q: Which of these has the lowest final energy?
A: Li4YIn